Material: CaVSi4O10
Method: DFT, GGA+U
State: optimized geometry

## Properties
Size of the total moment = 12.000 μB/cell
Uncorrected energy = -7.737 eV/atom
Space group = No. 130

Unit cell a=7.4814 b=7.4814 c=15.4704 alpha=90.00 beta=90.00 gamma=90.00
Atoms (fractional coordinates):
Ca  0.2500  0.7500  0.0000
Ca  0.2500  0.7500  0.5000
Ca  0.7500  0.2500  0.0000
Ca  0.7500  0.2500  0.5000
V  0.2500  0.2500  0.0818
V  0.2500  0.2500  0.5818
V  0.7500  0.7500  0.4182
V  0.7500  0.7500  0.9182
Si  0.0014  0.0816  0.3510
Si  0.0014  0.4184  0.8510
Si  0.0816  0.0014  0.8510
Si  0.0816  0.4986  0.3510
Si  0.4184  0.0014  0.3510
Si  0.4184  0.4986  0.8510
Si  0.4986  0.0816  0.8510
Si  0.4986  0.4184  0.3510
Si  0.5014  0.5816  0.6490
Si  0.5014  0.9184  0.1490
Si  0.5816  0.5014  0.1490
Si  0.5816  0.9986  0.6490
Si  0.9184  0.5014  0.6490
Si  0.9184  0.9986  0.1490
Si  0.9986  0.5816  0.1490
Si  0.9986  0.9184  0.6490
O  0.0013  0.2018  0.8707
O  0.0013  0.2982  0.3707
O  0.0033  0.6440  0.4177
O  0.0033  0.8560  0.9177
O  0.0462  0.5462  0.2500
O  0.0462  0.9538  0.7500
O  0.1440  0.5033  0.0823
O  0.1440  0.9967  0.5823
O  0.2018  0.0013  0.3707
O  0.2018  0.4987  0.8707
O  0.2982  0.0013  0.8707
O  0.2982  0.4987  0.3707
O  0.3560  0.5033  0.5823
O  0.3560  0.9967  0.0823
O  0.4538  0.5462  0.7500
O  0.4538  0.9538  0.2500
O  0.4967  0.6440  0.9177
O  0.4967  0.8560  0.4177
O  0.4987  0.2018  0.3707
O  0.4987  0.2982  0.8707
O  0.5013  0.7018  0.1293
O  0.5013  0.7982  0.6293
O  0.5033  0.1440  0.5823
O  0.5033  0.3560  0.0823
O  0.5462  0.0462  0.7500
O  0.5462  0.4538  0.2500
O  0.6440  0.0033  0.9177
O  0.6440  0.4967  0.4177
O  0.7018  0.5013  0.6293
O  0.7018  0.9987  0.1293
O  0.7982  0.5013  0.1293
O  0.7982  0.9987  0.6293
O  0.8560  0.0033  0.4177
O  0.8560  0.4967  0.9177
O  0.9538  0.0462  0.2500
O  0.9538  0.4538  0.7500
O  0.9967  0.1440  0.0823
O  0.9967  0.3560  0.5823
O  0.9987  0.7018  0.6293
O  0.9987  0.7982  0.1293